TaNbBi3 | GGA-PBE | relaxed

Computed properties:
Theoretical density ... 9.14 g cm⁻³
Distance to the lowest polymorph of the same formula ... 0.000 eV/atom
E ... -5.5010 eV per atom
Formation energy ... 27.951 kcal/mol of atoms

extended XYZ file:
```
5
Lattice="-3.9566 0.2448 -3.7702 1.6266 -4.8170 -2.0198 -3.4100 -2.5818 3.4110" Properties=species:S:1:pos:R:3 pbc="T T T"
Nb -2.8700 -3.5770 -1.1895
Bi 0.8133 -2.4085 -1.0099
Bi -1.7050 -1.2909 1.7055
Bi -1.9783 0.1224 -1.8851
Ta 0.0000 0.0000 0.0000
```

Ta5Nb12Bi3 | GGA-PBE | relaxed

Computed properties:
Theoretical density ... 8.88 g cm⁻³
E ... -8.1364 eV per atom
Formation energy ... 33.455 kcal/mol of atoms

extended XYZ file:
```
80
Lattice="-10.2309 2.6283 -8.7285 11.6097 -1.9296 -7.0184 -2.9197 -11.2919 7.1927" Properties=species:S:1:pos:R:3 pbc="T T T"
Bi -3.6845 -0.1639 -8.2792
Bi -0.6097 -0.5590 -12.0022
Bi 3.0459 -7.5191 -4.0416
Bi -2.2014 -3.8186 -0.3622
Bi -8.2308 -0.7644 -6.7166
Bi 2.6896 -3.0434 -5.8615
Bi -4.2304 -7.5499 -2.6927
Bi 6.6899 -9.8288 -1.8376
Bi 0.6605 -6.7747 -8.1921
Bi -4.5868 -3.0742 -4.5127
Bi -0.9312 -10.0343 3.4480
Bi 2.1436 -10.4294 -0.2750
Ta 2.3449 -3.2181 -1.9248
Ta 5.8049 -0.9648 -3.5092
Ta 0.0000 0.0000 0.0000
Ta -1.2991 -0.9083 -4.1287
Ta -6.5753 -4.3318 -0.7679
Ta 0.6894 0.3493 -7.8735
Ta 6.3335 -5.3532 -3.6576
Ta -8.7767 -8.1504 -1.1301
Ta -1.5120 -3.4693 -8.2356
Ta -4.5751 -7.7245 1.2440
Ta 3.0343 -2.8687 -9.7983
Ta -0.7704 -5.2966 -4.2771
Ta -5.1155 1.3141 -4.3643
Ta -1.4598 -5.6459 3.5964
Ta -0.0289 -7.1240 -0.3186
Ta 7.2358 -2.4429 -7.4241
Ta 4.3450 -6.6108 0.0872
Ta -7.8744 -5.2401 -4.8966
Ta -0.2418 -9.6850 -4.4255
Ta -3.8857 -7.3752 -6.6294
Nb -5.9043 0.9575 -6.8279
Nb 1.7817 -4.9184 -3.8737
Nb -6.2660 -1.4002 -8.7232
Nb -3.5853 -0.5271 -5.4073
Nb 0.4898 -7.3156 -5.3516
Nb -3.3558 -0.4518 -11.1426
Nb 4.3644 -5.3662 -5.4265
Nb 9.4579 -3.1384 -6.1651
Nb 3.0610 -7.7415 -6.9295
Nb -1.0941 -1.0345 -9.1863
Nb -3.9241 -2.8700 -7.3250
Nb 1.9061 -0.2279 -13.3631
Nb 5.2849 -7.3282 -2.2412
Nb 0.9468 -0.7550 -5.5211
Nb 8.8097 -5.6381 -4.5487
Nb -4.3833 -5.7204 -0.4744
Nb 0.4084 -2.5679 -0.2413
Nb 2.9097 -1.0249 -7.9032
Nb 1.2737 -2.7474 -11.7712
Nb 3.2244 -1.3574 -3.5894
Nb 4.9576 -9.6931 -4.1338
Nb 0.2527 -4.4596 -6.5292
Nb -1.2825 -5.5130 -9.9021
Nb -6.7352 -9.0004 -2.5849
Nb -1.7936 -6.1337 -2.0251
Nb -0.2584 -5.0802 1.3479
Nb 5.1943 -1.5928 -5.9693
Nb -2.8146 -7.8459 3.2170
Nb -6.4985 -0.9002 -4.4205
Nb -4.7653 -9.2359 -4.9648
Nb -4.4506 -9.5684 -0.6511
Nb 2.8424 -4.8729 -8.0798
Nb -1.9493 -8.0254 -8.3129
Nb -10.3506 -4.9551 -4.0055
Nb -6.8258 -3.2651 -6.3131
Nb -3.4470 -10.3654 4.8089
Nb -2.4877 -9.8383 -3.0331
Nb -4.6019 -2.8517 -1.6248
Nb -0.4468 -9.5588 0.6321
Nb 2.3832 -7.7232 -1.2293
Nb -10.9988 -7.4549 -2.3891
Nb -5.9053 -5.2271 -3.1278
Nb 2.0444 -10.0662 -3.1470
Nb 1.8149 -10.1415 2.5883
Nb -2.0307 -3.2776 -3.2026
Nb 4.7251 -9.1930 0.1690
Nb -3.3226 -5.6749 -4.6805
Nb 4.3634 -11.5507 -1.7263
```

TaNbBi2 | GGA-PBE | relaxed

Computed properties:
Theoretical density ... 13.18 g cm⁻³
Distance to the lowest polymorph of the same formula ... 0.000 eV/atom
E ... -6.9726 eV per atom
Formation energy ... 10.343 kcal/mol of atoms

extended XYZ file:
```
4
Lattice="0.0000 3.5193 3.5193 3.5193 0.0000 3.5193 3.5193 3.5193 0.0000" Properties=species:S:1:pos:R:3 pbc="T T T"
Nb 0.0000 0.0000 0.0000
Bi 1.7597 1.7597 1.7597
Bi 5.2790 5.2790 5.2790
Ta 3.5193 3.5193 3.5193
```